# CsSbH4O5

A relaxed structure of CsSbH4O5 (PBEsol, Alexandria via LeMat-Bulk).

```
CsSbH4O5
1.0
6.567 0.000 0.000
2.764 5.977 0.000
0.459 2.576 6.852
Cs Sb H O
2 2 8 10
direct
0.011 0.166 0.212
0.989 0.834 0.788
0.377 0.455 0.360
0.623 0.545 0.640
0.051 0.339 0.691
0.379 0.076 0.642
0.426 0.295 0.797
0.491 0.267 0.095
0.509 0.733 0.905
0.574 0.705 0.203
0.621 0.924 0.358
0.949 0.661 0.309
0.074 0.625 0.220
0.277 0.254 0.589
0.316 0.689 0.496
0.472 0.205 0.240
0.484 0.659 0.134
0.516 0.341 0.866
0.528 0.795 0.760
0.684 0.311 0.504
0.723 0.746 0.411
0.926 0.375 0.780
```

total magnetic moment	0.00	μB per formula unit
symmetry	P-1
uncorrected energy	-119.60	eV for the cell shown